ZrSbMo3 GGA-PBE relaxed; D(E_F) = 7.77 states/eV per cell; space-group type = Pm-3m, No. 221; calculated total energy = -7.133 eV per atom
1.0
4.858 0.000 0.000
0.000 4.858 0.000
0.000 0.000 4.858
Zr Sb Mo
1 1 3
Direct
0.000 0.000 0.000 Zr
0.500 0.500 0.500 Sb
0.000 0.000 0.500 Mo
0.000 0.500 0.000 Mo
0.500 0.000 0.000 Mo


ZrSb2Mo GGA-PBE relaxed; D(E_F) = 0.42 states/eV per cell; space-group type = F-43m, No. 216; calculated total energy = -6.761 eV per atom
1.0
0.000 3.482 3.482
3.482 0.000 3.482
3.482 3.482 0.000
Zr Sb Mo
1 2 1
Direct
0.000 0.000 0.000 Zr
0.250 0.250 0.250 Sb
0.500 0.500 0.500 Sb
0.750 0.750 0.750 Mo


ZrSb2Mo GGA-PBE relaxed; D(E_F) = 3.40 states/eV per cell; space-group type = Pmmm, No. 47; calculated total energy = -6.825 eV per atom
1.0
3.776 0.000 0.000
0.000 4.317 0.000
0.000 0.000 5.159
Zr Sb Mo
1 2 1
Direct
0.000 0.000 0.000 Zr
0.000 0.500 0.500 Sb
0.500 0.500 0.000 Sb
0.500 0.000 0.500 Mo


ZrSbMo GGA-PBE relaxed; D(E_F) = 1.98 states/eV per cell; space-group type = P3m1, No. 156; calculated total energy = -7.859 eV per atom
1.0
4.809 0.000 0.000
-2.404 4.165 0.000
0.000 0.000 3.011
Zr Sb Mo
1 1 1
Direct
0.000 0.000 0.000 Zr
0.667 0.333 0.450 Sb
0.333 0.667 0.412 Mo


ZrSb2Mo GGA-PBE relaxed; D(E_F) = 3.29 states/eV per cell; space-group type = P4/mmm, No. 123; calculated total energy = -7.045 eV per atom
1.0
3.373 0.000 0.000
0.000 3.373 0.000
0.000 0.000 7.173
Zr Sb Mo
1 2 1
Direct
0.000 0.000 0.000 Zr
0.500 0.500 0.275 Sb
0.500 0.500 0.725 Sb
0.000 0.000 0.500 Mo


Zr2Sb2Mo GGA-PBE relaxed; D(E_F) = 7.58 states/eV per cell; space-group type = P4/mbm, No. 127; calculated total energy = -7.503 eV per atom
1.0
7.252 0.000 0.000
0.000 7.252 0.000
0.000 0.000 4.078
Zr Sb Mo
4 4 2
Direct
0.157 0.343 0.000 Zr
0.343 0.843 0.000 Zr
0.657 0.157 0.000 Zr
0.843 0.657 0.000 Zr
0.148 0.648 0.500 Sb
0.352 0.148 0.500 Sb
0.648 0.852 0.500 Sb
0.852 0.352 0.500 Sb
0.000 0.000 0.500 Mo
0.500 0.500 0.500 Mo


ZrSbMo GGA-PBE relaxed; D(E_F) = 2.85 states/eV per cell; space-group type = I4mm, No. 107; calculated total energy = -7.959 eV per atom
1.0
-1.778 1.778 4.685
1.778 -1.778 4.685
1.778 1.778 -4.685
Zr Sb Mo
1 1 1
Direct
0.000 0.000 0.000 Zr
0.681 0.681 0.000 Sb
0.333 0.333 0.000 Mo


ZrSb2Mo GGA-PBE relaxed; D(E_F) = 1.99 states/eV per cell; space-group type = Amm2, No. 38; calculated total energy = -7.047 eV per atom
1.0
4.706 0.000 0.000
0.000 1.791 5.257
0.000 -1.791 5.257
Zr Sb Mo
1 2 1
Direct
0.000 0.000 0.000 Zr
0.000 0.719 0.719 Sb
0.500 0.454 0.454 Sb
0.500 0.163 0.163 Mo